1.
The following is a DFT calculation (GGA-PBE) of a relaxed structure of VBi3N.

Cell and atoms, written as POSCAR:
```
VBi3N
1.0
5.236 0.000 0.000
0.000 5.236 0.000
0.000 0.000 5.236
V Bi N
1 3 1
Direct
0.000 0.000 0.000
0.000 0.000 0.500
0.000 0.500 0.000
0.500 0.000 0.000
0.500 0.500 0.500
```

SG	Pm-3m
relative energy among the computed polymorphs	488	meV per atom

2.
The following is a DFT calculation (GGA-PBE) of a relaxed structure of BiWN2.

Cell and atoms, written as POSCAR:
```
BiWN2
1.0
1.559 0.900 7.171
-1.559 0.900 7.171
0.000 -1.800 7.171
Bi W N
1 1 2
Direct
0.000 0.000 0.000
0.500 0.500 0.500
0.115 0.115 0.115
0.885 0.885 0.885
```

SG	R-3m

3.
The following is a DFT calculation (GGA-PBE) of a relaxed structure of BiWN2.

Cell and atoms, written as POSCAR:
```
BiWN2
1.0
1.710 0.987 6.565
-1.710 0.987 6.565
0.000 -1.975 6.565
Bi W N
1 1 2
Direct
0.000 0.000 0.000
0.500 0.500 0.500
0.403 0.403 0.403
0.597 0.597 0.597
```

SG	R-3m

4.
The following is a DFT calculation (GGA-PBE) of a relaxed structure of Bi3W5N12.

Cell and atoms, written as POSCAR:
```
Bi3W5N12
1.0
-6.532 6.532 6.532
6.532 -6.532 6.532
6.532 6.532 -6.532
Bi W N
12 20 48
Direct
0.125 0.250 0.375
0.125 0.375 0.750
0.250 0.375 0.125
0.250 0.875 0.625
0.375 0.125 0.250
0.375 0.750 0.125
0.625 0.250 0.875
0.625 0.875 0.750
0.750 0.125 0.375
0.750 0.625 0.875
0.875 0.625 0.250
0.875 0.750 0.625
0.000 0.000 0.000
0.000 0.000 0.500
0.000 0.500 0.000
0.000 0.500 0.500
0.125 0.750 0.875
0.125 0.875 0.250
0.250 0.125 0.875
0.250 0.625 0.375
0.375 0.250 0.625
0.375 0.625 0.750
0.500 0.000 0.000
0.500 0.000 0.500
0.500 0.500 0.000
0.500 0.500 0.500
0.625 0.375 0.250
0.625 0.750 0.375
0.750 0.375 0.625
0.750 0.875 0.125
0.875 0.125 0.750
0.875 0.250 0.125
0.012 0.194 0.113
0.012 0.319 0.900
0.081 0.694 0.681
0.081 0.887 0.400
0.100 0.613 0.419
0.100 0.988 0.681
0.113 0.012 0.194
0.113 0.600 0.919
0.181 0.194 0.581
0.181 0.488 0.600
0.194 0.113 0.012
0.194 0.581 0.181
0.306 0.319 0.919
0.306 0.488 0.387
0.319 0.900 0.012
0.319 0.919 0.306
0.387 0.306 0.488
0.387 0.581 0.900
0.400 0.081 0.887
0.400 0.819 0.512
0.419 0.100 0.613
0.419 0.819 0.806
0.488 0.387 0.306
0.488 0.600 0.181
0.512 0.400 0.819
0.512 0.613 0.694
0.581 0.181 0.194
0.581 0.900 0.387
0.600 0.181 0.488
0.600 0.919 0.113
0.613 0.419 0.100
0.613 0.694 0.512
0.681 0.081 0.694
0.681 0.100 0.988
0.694 0.512 0.613
0.694 0.681 0.081
0.806 0.419 0.819
0.806 0.887 0.988
0.819 0.512 0.400
0.819 0.806 0.419
0.887 0.400 0.081
0.887 0.988 0.806
0.900 0.012 0.319
0.900 0.387 0.581
0.919 0.113 0.600
0.919 0.306 0.319
0.988 0.681 0.100
0.988 0.806 0.887
```

SG	Ia-3d

5.
The following is a DFT calculation (GGA-PBE) of a relaxed structure of BiWN2.

Cell and atoms, written as POSCAR:
```
BiWN2
1.0
-3.040 3.040 4.321
3.040 -3.040 4.321
3.040 3.040 -4.321
Bi W N
2 2 4
Direct
0.000 0.000 0.000
0.750 0.250 0.500
0.250 0.750 0.500
0.500 0.500 0.000
0.373 0.625 0.248
0.375 0.623 0.748
0.377 0.125 0.752
0.875 0.627 0.252
```

SG	I-42d

6.
The following is a DFT calculation (GGA-PBE) of a relaxed structure of ZrBiWN2.

Cell and atoms, written as POSCAR:
```
ZrBiWN2
1.0
4.031 0.000 0.000
0.000 4.031 0.000
0.000 0.000 5.664
Zr Bi W N
1 1 1 2
Direct
0.000 0.000 0.000
0.500 0.500 0.000
0.500 0.500 0.500
0.000 0.500 0.500
0.500 0.000 0.500
```

SG	P4/mmm

| no. | E_form (uncorrected) (eV/f.u.) | total DFT energy (no corrections) (eV per atom) |
| --- | --- | --- |
| 1 | 6.3 | -4.565 |
| 2 | 0.6 | -8.228 |
| 3 | 3.4 | -7.512 |
| 4 | 0.9 | -8.769 |
| 5 | 0.6 | -8.231 |
| 6 | 2.8 | -7.838 |